This record from Alexandria describes a relaxed RbHg2Pt crystal. The functional is PBE-GGA.

Cell lengths 11.987, 11.987, 11.987 Å; angles 90.00, 90.00, 90.00 degrees
Space group Fd-3m (No. 227, origin choice 2)
Symmetry-distinct sites (fractional):
Rb  0.125  0.125  0.125 (multiplicity 8)
Hg  0.000  0.000  0.500 (multiplicity 16)
Pt  0.125  0.125  0.625 (multiplicity 8)

## Properties
Energy above the most stable polymorph in this dataset in eV per atom: 0.231
Formation enthalpy at 0 K in meV/atom: 81

---

This record from Alexandria describes a relaxed PbW3Br crystal. The functional is PBE-GGA.

Cell lengths 4.693, 4.693, 4.693 Å; angles 90.00, 90.00, 90.00 degrees
Space group Pm-3m (No. 221)
Symmetry-distinct sites (fractional):
Pb  0.000  0.000  0.000 (multiplicity 1)
W  0.000  0.500  0.500 (multiplicity 3)
Br  0.500  0.500  0.500 (multiplicity 1)

## Properties
Energy above the most stable polymorph in this dataset in eV per atom: 0.000
Energy relative to the elements, uncorrected in eV per atom: 2.21

---

This record from Alexandria describes a relaxed Rh2PbW crystal. The functional is PBE-GGA.

Cell lengths 9.045, 2.990, 5.119 Å; angles 90.00, 98.96, 90.00 degrees
Space group C2/m (No. 12)
Symmetry-distinct sites (fractional):
Rh  0.244  0.000  0.222 (multiplicity 4)
Pb  0.000  0.000  0.500 (multiplicity 2)
W  0.000  0.500  0.000 (multiplicity 2)

## Properties
Formation enthalpy at 0 K in meV/atom: 301

---

This record from Alexandria describes a relaxed Er3Si2SnPt9 crystal. The functional is PBE-GGA.

Cell lengths 5.6276, 5.6276, 11.2134 Å; angles 90.00, 90.00, 120.00 degrees
Space group P-3m1 (No. 164)
Symmetry-distinct sites (fractional):
Er  0.0000  0.0000  0.0000 (multiplicity 1)
Er  0.3333  0.6667  0.5943 (multiplicity 2)
Si  0.3333  0.6667  0.1581 (multiplicity 2)
Sn  0.0000  0.0000  0.5000 (multiplicity 1)
Pt  0.0000  0.5000  0.0000 (multiplicity 3)
Pt  0.1668  0.3336  0.3119 (multiplicity 6)

## Properties
Energy relative to the elements, uncorrected in eV per atom: -0.79

---

This record from Alexandria describes a relaxed BaPmTlGa crystal. The functional is PBE-GGA.

Cell lengths 7.990, 7.990, 7.990 Å; angles 90.00, 90.00, 90.00 degrees
Space group F-43m (No. 216)
Symmetry-distinct sites (fractional):
Ba  0.000  0.000  0.000 (multiplicity 4)
Pm  0.000  0.000  0.500 (multiplicity 4)
Tl  0.250  0.250  0.250 (multiplicity 4)
Ga  0.250  0.250  0.750 (multiplicity 4)

## Properties
Formation enthalpy at 0 K in meV/atom: -267

---

This record from Alexandria describes a relaxed Pr2SmEr4Th crystal. The functional is PBE-GGA.

Cell lengths 5.108, 5.120, 9.938 Å; angles 90.00, 90.05, 90.00 degrees
Space group P2/m (No. 10)
Symmetry-distinct sites (fractional):
Pr  0.000  0.000  0.000 (multiplicity 1)
Pr  0.500  0.500  0.500 (multiplicity 1)
Sm  0.000  0.000  0.500 (multiplicity 1)
Er  0.000  0.500  0.246 (multiplicity 2)
Er  0.500  0.000  0.246 (multiplicity 2)
Th  0.500  0.500  0.000 (multiplicity 1)

## Properties
Formation enthalpy at 0 K in meV/atom: 31

---

This record from Alexandria describes a relaxed Na3Br2 crystal. The functional is PBE-GGA.

Cell lengths 7.4042, 7.4042, 21.7261 Å; angles 90.00, 90.00, 120.00 degrees
Space group R-3c (No. 167, hexagonal axes)
Symmetry-distinct sites (fractional):
Na  0.0000  0.3197  0.2500 (multiplicity 18)
Br  0.0000  0.0000  0.1586 (multiplicity 12)

## Properties
Energy relative to the elements, uncorrected in eV per atom: -1.08

---

This record from Alexandria describes a relaxed Na2CaBeRe crystal. The functional is PBE-GGA.

Cell lengths 5.028, 5.028, 4.557 Å; angles 90.00, 90.00, 90.00 degrees
Space group P4/mmm (No. 123)
Symmetry-distinct sites (fractional):
Na  0.000  0.500  0.000 (multiplicity 2)
Ca  0.000  0.000  0.500 (multiplicity 1)
Be  0.500  0.500  0.000 (multiplicity 1)
Re  0.500  0.500  0.500 (multiplicity 1)

## Properties
Formation enthalpy at 0 K in meV/atom: 923

---

This record from Alexandria describes a relaxed KAl2TlH crystal. The functional is PBE-GGA.

Cell lengths 5.780, 5.780, 4.051 Å; angles 90.00, 90.00, 90.00 degrees
Space group P4/mmm (No. 123)
Symmetry-distinct sites (fractional):
K  0.000  0.000  0.000 (multiplicity 1)
Al  0.000  0.500  0.500 (multiplicity 2)
Tl  0.500  0.500  0.500 (multiplicity 1)
H  0.500  0.500  0.000 (multiplicity 1)

## Properties
Energy above the most stable polymorph in this dataset in eV per atom: 0.000

---

This record from Alexandria describes a relaxed Cs2CeGaS4 crystal. The functional is PBE-GGA.

Cell lengths 6.375, 14.734, 26.220 Å; angles 90.00, 90.00, 90.00 degrees
Space group Fddd (No. 70, origin choice 2)
Symmetry-distinct sites (fractional):
Cs  0.125  0.125  0.305 (multiplicity 16)
Ce  0.125  0.125  0.125 (multiplicity 8)
Ga  0.125  0.125  0.625 (multiplicity 8)
S  0.085  0.280  0.825 (multiplicity 32)

## Properties
Energy relative to the elements, uncorrected in eV per atom: -1.23

---

This record from Alexandria describes a relaxed CaY2Mg crystal. The functional is PBE-GGA.

Cell lengths 3.639, 3.639, 9.667 Å; angles 90.00, 90.00, 90.00 degrees
Space group P4mm (No. 99)
Symmetry-distinct sites (fractional):
Ca  0.000  0.000  0.000 (multiplicity 1)
Y  0.000  0.000  0.460 (multiplicity 1)
Y  0.500  0.500  0.709 (multiplicity 1)
Mg  0.500  0.500  0.240 (multiplicity 1)

## Properties
Formation enthalpy at 0 K in meV/atom: -10

---

This record from Alexandria describes a relaxed Al2ZnBi crystal. The functional is PBE-GGA.

Cell lengths 6.614, 6.614, 10.469 Å; angles 90.00, 90.00, 90.00 degrees
Space group I-42d (No. 122)
Symmetry-distinct sites (fractional):
Al  0.221  0.250  0.125 (multiplicity 8)
Zn  0.000  0.000  0.000 (multiplicity 4)
Bi  0.000  0.000  0.500 (multiplicity 4)

## Properties
Energy above the most stable polymorph in this dataset in eV per atom: 0.175
Formation enthalpy at 0 K in meV/atom: 417

---

This record from Alexandria describes a relaxed AgIO3 crystal. The functional is PBE-GGA.

Cell lengths 10.183, 10.844, 6.493 Å; angles 90.00, 98.69, 90.00 degrees
Space group C2/c (No. 15)
Symmetry-distinct sites (fractional):
Ag  0.000  0.060  0.250 (multiplicity 4)
Ag  0.000  0.276  0.750 (multiplicity 4)
I  0.184  0.364  0.304 (multiplicity 8)
O  0.070  0.383  0.057 (multiplicity 8)
O  0.155  0.109  0.784 (multiplicity 8)
O  0.185  0.193  0.318 (multiplicity 8)

## Properties
Energy relative to the elements, uncorrected in eV per atom: -0.23

---

This record from Alexandria describes a relaxed DyHo2Hg5 crystal. The functional is PBE-GGA.

Cell lengths 5.191, 5.191, 14.563 Å; angles 90.00, 90.00, 90.00 degrees
Space group I4/mmm (No. 139)
Symmetry-distinct sites (fractional):
Dy  0.000  0.000  0.000 (multiplicity 2)
Ho  0.000  0.000  0.264 (multiplicity 4)
Hg  0.000  0.000  0.500 (multiplicity 2)
Hg  0.000  0.500  0.125 (multiplicity 8)

## Properties
Formation enthalpy at 0 K in meV/atom: -418

---

This record from Alexandria describes a relaxed Pu4PPtS2 crystal. The functional is PBE-GGA.

Cell lengths 7.014, 4.013, 7.022 Å; angles 90.00, 109.06, 90.00 degrees
Space group P2/m (No. 10)
Symmetry-distinct sites (fractional):
Pu  0.248  0.000  0.245 (multiplicity 2)
Pu  0.252  0.500  0.751 (multiplicity 2)
P  0.500  0.000  0.000 (multiplicity 1)
Pt  0.500  0.500  0.500 (multiplicity 1)
S  0.000  0.000  0.500 (multiplicity 1)
S  0.000  0.500  0.000 (multiplicity 1)

## Properties
Energy relative to the elements, uncorrected in eV per atom: -1.29

---

This record from Alexandria describes a relaxed CuSeBr2 crystal. The functional is PBE-GGA.

Cell lengths 3.652, 3.436, 8.419 Å; angles 90.00, 90.48, 90.00 degrees
Space group P2/m (No. 10)
Symmetry-distinct sites (fractional):
Cu  0.000  0.000  0.000 (multiplicity 1)
Se  0.000  0.000  0.500 (multiplicity 1)
Br  0.000  0.500  0.202 (multiplicity 2)

## Properties
Energy above the most stable polymorph in this dataset in eV per atom: 0.359
Energy relative to the elements, uncorrected in eV per atom: 0.19

---

This record from Alexandria describes a relaxed Ce2Dy3N4 crystal. The functional is PBE-GGA.

Cell lengths 11.648, 3.478, 8.714 Å; angles 90.00, 118.98, 90.00 degrees
Space group C2/m (No. 12)
Symmetry-distinct sites (fractional):
Ce  0.104  0.000  0.389 (multiplicity 4)
Dy  0.000  0.500  0.000 (multiplicity 2)
Dy  0.208  0.500  0.815 (multiplicity 4)
N  0.103  0.000  0.902 (multiplicity 4)
N  0.195  0.500  0.293 (multiplicity 4)

## Properties
Energy relative to the elements, uncorrected in eV per atom: -1.39

---

This record from Alexandria describes a relaxed CeSm2Te crystal. The functional is PBE-GGA.

Cell lengths 4.901, 4.901, 4.657 Å; angles 90.00, 90.00, 90.00 degrees
Space group P4/mmm (No. 123)
Symmetry-distinct sites (fractional):
Ce  0.000  0.000  0.000 (multiplicity 1)
Sm  0.000  0.500  0.500 (multiplicity 2)
Te  0.500  0.500  0.000 (multiplicity 1)

## Properties
Energy above the most stable polymorph in this dataset in eV per atom: 0.038
Energy relative to the elements, uncorrected in eV per atom: -0.50

---

This record from Alexandria describes a relaxed Li4PmGd crystal. The functional is PBE-GGA.

Cell lengths 8.355, 8.355, 8.355 Å; angles 90.00, 90.00, 90.00 degrees
Space group F-43m (No. 216)
Symmetry-distinct sites (fractional):
Li  0.125  0.125  0.125 (multiplicity 16)
Pm  0.000  0.000  0.500 (multiplicity 4)
Gd  0.250  0.250  0.750 (multiplicity 4)

## Properties
Formation enthalpy at 0 K in meV/atom: 108

---

This record from Alexandria describes a relaxed LaTb2PrSb4 crystal. The functional is PBE-GGA.

Cell lengths 7.782, 4.503, 7.796 Å; angles 90.00, 109.51, 90.00 degrees
Space group P2/m (No. 10)
Symmetry-distinct sites (fractional):
La  0.000  0.000  0.000 (multiplicity 1)
Tb  0.500  0.000  0.500 (multiplicity 1)
Tb  0.500  0.500  0.000 (multiplicity 1)
Pr  0.000  0.500  0.500 (multiplicity 1)
Sb  0.261  0.000  0.752 (multiplicity 2)
Sb  0.262  0.500  0.255 (multiplicity 2)

## Properties
Energy relative to the elements, uncorrected in eV per atom: -1.19

---

This record from Alexandria describes a relaxed ReIrF2 crystal. The functional is PBE-GGA.

Cell lengths 3.613, 3.613, 16.155 Å; angles 90.00, 90.00, 90.00 degrees
Space group I-42d (No. 122)
Symmetry-distinct sites (fractional):
Re  0.000  0.000  0.000 (multiplicity 4)
Ir  0.000  0.000  0.500 (multiplicity 4)
F  0.215  0.250  0.125 (multiplicity 8)

## Properties
Energy above the most stable polymorph in this dataset in eV per atom: 0.670
Energy relative to the elements, uncorrected in eV per atom: 0.15

---

This record from Alexandria describes a relaxed LaMgAl2 crystal. The functional is PBE-GGA.

Cell lengths 4.294, 4.643, 10.054 Å; angles 90.00, 90.00, 90.00 degrees
Space group Imm2 (No. 44)
Symmetry-distinct sites (fractional):
La  0.000  0.000  0.000 (multiplicity 2)
Mg  0.000  0.500  0.757 (multiplicity 2)
Al  0.000  0.000  0.581 (multiplicity 2)
Al  0.000  0.500  0.247 (multiplicity 2)

## Properties
Formation enthalpy at 0 K in meV/atom: -129

---

This record from Alexandria describes a relaxed AcNd6Y crystal. The functional is PBE-GGA.

Cell lengths 5.244, 5.244, 10.473 Å; angles 90.00, 90.00, 90.00 degrees
Space group P4/mmm (No. 123)
Symmetry-distinct sites (fractional):
Ac  0.000  0.000  0.000 (multiplicity 1)
Nd  0.000  0.500  0.257 (multiplicity 4)
Nd  0.500  0.500  0.000 (multiplicity 1)
Nd  0.500  0.500  0.500 (multiplicity 1)
Y  0.000  0.000  0.500 (multiplicity 1)

## Properties
Formation enthalpy at 0 K in meV/atom: 25

---

This record from Alexandria describes a relaxed Zr2Co2Ag crystal. The functional is PBE-GGA.

Cell lengths 7.595, 7.595, 2.997 Å; angles 90.00, 90.00, 90.00 degrees
Space group P4/mbm (No. 127)
Symmetry-distinct sites (fractional):
Zr  0.150  0.350  0.000 (multiplicity 4)
Co  0.139  0.639  0.500 (multiplicity 4)
Ag  0.000  0.000  0.000 (multiplicity 2)

## Properties
Energy above the most stable polymorph in this dataset in eV per atom: 0.269
Formation enthalpy at 0 K in meV/atom: 40

---

This record from Alexandria describes a relaxed HfTaNbMo crystal. The functional is PBE-GGA.

Cell lengths 6.628, 6.628, 6.628 Å; angles 90.00, 90.00, 90.00 degrees
Space group F-43m (No. 216)
Symmetry-distinct sites (fractional):
Hf  0.000  0.000  0.000 (multiplicity 4)
Ta  0.000  0.000  0.500 (multiplicity 4)
Nb  0.250  0.250  0.250 (multiplicity 4)
Mo  0.250  0.250  0.750 (multiplicity 4)

## Properties
Energy above the most stable polymorph in this dataset in eV per atom: 0.022
Formation enthalpy at 0 K in meV/atom: -10

---

V across the listed records, respectively: 53.82, 20.67, 17.09, 20.50, 31.88, 32.49, 34.38, 23.04, 27.07, 38.48, 32.00, 28.63, 17.72, 24.53, 23.35, 26.41, 17.16, 27.97, 24.30, 32.19, 13.18, 25.06, 36.00, 17.29, 18.20 Å³ per atom.
Spin magnetization across the listed records, respectively: 0.0, 0.0, 0.0, 0.0, 0.0, 0.0, 0.4, 1.6, 0.0, 1.0, 0.0, 0.0, 0.0, 0.0, 22.9, 0.0, 0.6, 0.6, 7.2, 0.0, 0.3, 0.0, 0.0, 0.0, 0.0 μB/f.u..